(1)
{
  "formula": "SrScTiMn2",
  "functional": "PBE",
  "state": "relaxed",
  "lattice": [[4.576, 0.000, 0.000], [0.000, 4.576, 0.000], [0.000, 0.000, 4.702]],
  "species": ["Sr", "Sc", "Ti", "Mn", "Mn"],
  "fractional_positions": [[0.000, 0.000, 0.000], [0.500, 0.500, 0.500], [0.000, 0.000, 0.500], [0.000, 0.500, 0.000], [0.500, 0.000, 0.000]],
  "sg": "P4/mmm",
  "m_tot_mub_per_cell": 0.00,
  "total_energy_ev_per_atom": -4.783
}



(2)
{
  "formula": "SrScMn2V",
  "functional": "PBE",
  "state": "relaxed",
  "lattice": [[4.746, 0.000, 0.000], [0.000, 4.746, 0.000], [0.000, 0.000, 5.609]],
  "species": ["Sr", "Sc", "Mn", "Mn", "V"],
  "fractional_positions": [[0.000, 0.000, 0.000], [0.000, 0.000, 0.500], [0.000, 0.500, 0.500], [0.500, 0.000, 0.500], [0.500, 0.500, 0.000]],
  "sg": "P4/mmm",
  "m_tot_mub_per_cell": 9.89,
  "total_energy_ev_per_atom": -5.581
}



(3)
{
  "formula": "SrSc2MnW",
  "functional": "PBE",
  "state": "relaxed",
  "lattice": [[4.893, 0.000, 0.000], [0.000, 4.893, 0.000], [0.000, 0.000, 4.782]],
  "species": ["Sr", "Sc", "Sc", "Mn", "W"],
  "fractional_positions": [[0.000, 0.000, 0.000], [0.000, 0.500, 0.000], [0.500, 0.000, 0.000], [0.500, 0.500, 0.500], [0.000, 0.000, 0.500]],
  "sg": "P4/mmm",
  "m_tot_mub_per_cell": 0.21,
  "total_energy_ev_per_atom": -4.672
}



(4)
{
  "formula": "ScTa4Mn",
  "functional": "PBE",
  "state": "relaxed",
  "lattice": [[0.000, 3.887, 3.887], [3.887, 0.000, 3.887], [3.887, 3.887, 0.000]],
  "species": ["Sc", "Ta", "Ta", "Ta", "Ta", "Mn"],
  "fractional_positions": [[0.000, 0.000, 0.000], [0.123, 0.626, 0.626], [0.626, 0.123, 0.626], [0.626, 0.626, 0.123], [0.626, 0.626, 0.626], [0.250, 0.250, 0.250]],
  "sg": "F-43m",
  "m_tot_mub_per_cell": 1.81,
  "total_energy_ev_per_atom": -10.094
}



(5)
{
  "formula": "ScTa2Mn",
  "functional": "PBE",
  "state": "relaxed",
  "lattice": [[4.580, 0.000, 0.000], [0.000, 4.580, 0.000], [0.000, 0.000, 3.191]],
  "species": ["Sc", "Ta", "Ta", "Mn"],
  "fractional_positions": [[0.000, 0.000, 0.000], [0.000, 0.500, 0.500], [0.500, 0.000, 0.500], [0.500, 0.500, 0.000]],
  "sg": "P4/mmm",
  "m_tot_mub_per_cell": 0.00,
  "total_energy_ev_per_atom": -9.504,
  "relative_energy_ev_per_atom": 0.271
}



(6)
{
  "formula": "ScTa2Mn",
  "functional": "PBE",
  "state": "relaxed",
  "lattice": [[3.949, 0.000, 0.000], [0.000, 3.949, 0.000], [0.000, 0.000, 9.262]],
  "species": ["Sc", "Sc", "Ta", "Ta", "Ta", "Ta", "Mn", "Mn"],
  "fractional_positions": [[0.000, 0.000, 0.000], [0.500, 0.500, 0.500], [0.000, 0.500, 0.250], [0.000, 0.500, 0.750], [0.500, 0.000, 0.250], [0.500, 0.000, 0.750], [0.000, 0.000, 0.500], [0.500, 0.500, 0.000]],
  "sg": "I4/mmm",
  "m_tot_mub_per_cell": 5.59,
  "total_energy_ev_per_atom": -9.563,
  "relative_energy_ev_per_atom": 0.212
}



(7)
{
  "formula": "ScTa2Mn2",
  "functional": "PBE",
  "state": "relaxed",
  "lattice": [[7.303, 0.000, 0.000], [0.000, 7.303, 0.000], [0.000, 0.000, 3.054]],
  "species": ["Sc", "Sc", "Ta", "Ta", "Ta", "Ta", "Mn", "Mn", "Mn", "Mn"],
  "fractional_positions": [[0.000, 0.000, 0.000], [0.500, 0.500, 0.000], [0.151, 0.349, 0.500], [0.349, 0.849, 0.500], [0.651, 0.151, 0.500], [0.849, 0.651, 0.500], [0.139, 0.639, 0.000], [0.361, 0.139, 0.000], [0.639, 0.861, 0.000], [0.861, 0.361, 0.000]],
  "sg": "P4/mbm",
  "m_tot_mub_per_cell": 2.59,
  "total_energy_ev_per_atom": -9.577
}



(8)
{
  "formula": "ScTa2Mn",
  "functional": "PBE",
  "state": "relaxed",
  "lattice": [[2.952, 0.000, 0.000], [0.000, 4.328, 0.000], [-1.304, 0.000, 5.446]],
  "species": ["Sc", "Ta", "Ta", "Mn"],
  "fractional_positions": [[0.000, 0.000, 0.000], [0.385, 0.000, 0.535], [0.704, 0.500, 0.292], [0.189, 0.500, 0.737]],
  "sg": "Pm",
  "m_tot_mub_per_cell": 0.00,
  "total_energy_ev_per_atom": -9.603,
  "relative_energy_ev_per_atom": 0.172
}



(9)
{
  "formula": "Sc2TaMn",
  "functional": "PBE",
  "state": "relaxed",
  "lattice": [[2.964, 0.000, 0.000], [0.000, 4.603, 0.000], [-1.379, 0.000, 5.442]],
  "species": ["Sc", "Sc", "Ta", "Mn"],
  "fractional_positions": [[0.091, 0.000, 0.259], [0.909, 0.000, 0.741], [0.500, 0.500, 0.000], [0.500, 0.500, 0.500]],
  "sg": "P2/m",
  "m_tot_mub_per_cell": 1.54,
  "total_energy_ev_per_atom": -8.163,
  "relative_energy_ev_per_atom": 0.257
}



(10)
{
  "formula": "ScTaMn",
  "functional": "PBE",
  "state": "relaxed",
  "lattice": [[3.215, 0.000, 0.000], [0.000, 13.568, 0.000], [0.000, 0.000, 4.700]],
  "species": ["Sc", "Sc", "Sc", "Sc", "Ta", "Ta", "Ta", "Ta", "Mn", "Mn", "Mn", "Mn"],
  "fractional_positions": [[0.000, 0.074, 0.250], [0.000, 0.926, 0.750], [0.500, 0.426, 0.750], [0.500, 0.574, 0.250], [0.000, 0.232, 0.750], [0.000, 0.768, 0.250], [0.500, 0.268, 0.250], [0.500, 0.732, 0.750], [0.000, 0.403, 0.250], [0.000, 0.597, 0.750], [0.500, 0.097, 0.750], [0.500, 0.903, 0.250]],
  "sg": "Cmcm",
  "m_tot_mub_per_cell": 0.00,
  "total_energy_ev_per_atom": -9.103,
  "relative_energy_ev_per_atom": 0.000
}



(11)
{
  "formula": "ScTa3Mn",
  "functional": "PBE",
  "state": "relaxed",
  "lattice": [[4.652, 0.000, 0.000], [0.000, 4.652, 0.000], [0.000, 0.000, 4.652]],
  "species": ["Sc", "Ta", "Ta", "Ta", "Mn"],
  "fractional_positions": [[0.000, 0.000, 0.000], [0.000, 0.500, 0.500], [0.500, 0.000, 0.500], [0.500, 0.500, 0.000], [0.500, 0.500, 0.500]],
  "sg": "Pm-3m",
  "m_tot_mub_per_cell": 0.00,
  "total_energy_ev_per_atom": -9.606,
  "relative_energy_ev_per_atom": 0.000
}



(12)
{
  "formula": "ScTa2Mn",
  "functional": "PBE",
  "state": "relaxed",
  "lattice": [[3.005, 0.000, 0.000], [0.000, 4.275, 0.000], [-1.257, 0.000, 5.360]],
  "species": ["Sc", "Ta", "Ta", "Mn"],
  "fractional_positions": [[0.000, 0.000, 0.000], [0.298, 0.500, 0.725], [0.702, 0.500, 0.275], [0.500, 0.000, 0.500]],
  "sg": "P2/m",
  "m_tot_mub_per_cell": 0.00,
  "total_energy_ev_per_atom": -9.631,
  "relative_energy_ev_per_atom": 0.144
}